No. 1
Ca2TcGe | PBE | optimized geometry

The value obtained for the density of states at the Fermi level is 0.987 states/eV/atom. For the formation energy, the calculation gives 11.508 kcal/mol of atoms. The value obtained for the magnetic moment is 0.651 Bohr magnetons per cell. As for the crystal system: tetragonal.

The structure belongs to space group I-42d (No. 122); the cell edges are 8.087, 8.087 and 5.473 Å and the angles 90.00°, 90.00° and 90.00°. The inequivalent atoms are Ca at (0.236, 0.250, 0.125), Tc at (0.000, 0.000, 0.000) and Ge at (0.000, 0.000, 0.500).


No. 2
Zr2PaSe | PBE | optimized geometry

The value obtained for the density of states at the Fermi level is 1.290 states/eV/atom. The offset from the most stable computed form is 0 meV/atom. The value obtained for the magnetic moment is 0.000 Bohr magnetons per cell. The formation energy from raw total energies comes out at -0.461 eV per atom. As for the crystal system: trigonal.

The structure belongs to space group R3m (No. 160, hexagonal axes); the cell edges are 3.3700, 3.3700 and 27.8013 Å and the angles 90.00°, 90.00° and 120.00°. The inequivalent atoms are Zr at (0.0000, 0.0000, 0.0000), Zr at (0.0000, 0.0000, 0.1913), Pa at (0.0000, 0.0000, 0.7626) and Se at (0.0000, 0.0000, 0.5950).


No. 3
SrIn2Si | PBE | optimized geometry

The value obtained for the density of states at the Fermi level is 0.319 states/eV/atom. The value obtained for the magnetic moment is 0.000 Bohr magnetons per cell. The formation energy from raw total energies comes out at -0.102 eV per atom. As for the crystal system: tetragonal.

The structure belongs to space group P4mm (No. 99); the cell edges are 3.856, 3.856 and 7.174 Å and the angles 90.00°, 90.00° and 90.00°. The inequivalent atoms are Sr at (0.000, 0.000, 0.000), In at (0.000, 0.000, 0.541), In at (0.500, 0.500, 0.313) and Si at (0.500, 0.500, 0.705).


No. 4
ScInSCl2 | PBE | optimized geometry

The offset from the most stable computed form is 0 meV/atom. The value obtained for the magnetic moment is 0.000 Bohr magnetons per cell. The formation energy from raw total energies comes out at -1.399 eV per atom. As for the crystal system: tetragonal.

The structure belongs to space group P4/mmm (No. 123); the cell edges are 5.100, 5.100 and 4.967 Å and the angles 90.00°, 90.00° and 90.00°. The inequivalent atoms are Sc at (0.000, 0.000, 0.000), In at (0.500, 0.500, 0.500), S at (0.000, 0.000, 0.500) and Cl at (0.000, 0.500, 0.000).


No. 5
GaAu3S | PBE | optimized geometry

The value obtained for the density of states at the Fermi level is 0.272 states/eV/atom. The offset from the most stable computed form is 0 meV/atom. The value obtained for the magnetic moment is 0.000 Bohr magnetons per cell. The formation energy from raw total energies comes out at 0.391 eV per atom. As for the crystal system: cubic.

The structure belongs to space group Pm-3m (No. 221); the cell edges are 4.880, 4.880 and 4.880 Å and the angles 90.00°, 90.00° and 90.00°. The inequivalent atoms are Ga at (0.000, 0.000, 0.000), Au at (0.000, 0.500, 0.500) and S at (0.500, 0.500, 0.500).


No. 6
CdHgAu2 | PBE | optimized geometry

The value obtained for the density of states at the Fermi level is 0.283 states/eV/atom. For the formation energy, the calculation gives 1.000 kcal/mol of atoms. The value obtained for the magnetic moment is 0.000 Bohr magnetons per cell. As for the crystal system: trigonal.

The structure belongs to space group R3m (No. 160, hexagonal axes); the cell edges are 3.9132, 3.9132 and 20.8366 Å and the angles 90.00°, 90.00° and 120.00°. The inequivalent atoms are Cd at (0.0000, 0.0000, 0.0000), Hg at (0.0000, 0.0000, 0.1678), Au at (0.0000, 0.0000, 0.4154) and Au at (0.0000, 0.0000, 0.5850).


No. 7
CePmH | PBE | optimized geometry

The value obtained for the density of states at the Fermi level is 1.997 states/eV/atom. The offset from the most stable computed form is 0 meV/atom. The value obtained for the magnetic moment is 0.893 Bohr magnetons per cell. As for the crystal system: trigonal.

The structure belongs to space group P3m1 (No. 156); the cell edges are 3.5757, 3.5757 and 5.9541 Å and the angles 90.00°, 90.00° and 120.00°. The inequivalent atoms are Ce at (0.0000, 0.0000, 0.0000), Pm at (0.6667, 0.3333, 0.5100) and H at (0.3333, 0.6667, 0.7583).


No. 8
PrDy15Sc4 | PBE | optimized geometry

The value obtained for the density of states at the Fermi level is 1.477 states/eV/atom. For the formation energy, the calculation gives 0.874 kcal/mol of atoms. The value obtained for the magnetic moment is 0.000 Bohr magnetons per cell. As for the crystal system: tetragonal.

The structure belongs to space group P4/mmm (No. 123); the cell edges are 4.947, 4.947 and 24.668 Å and the angles 90.00°, 90.00° and 90.00°. The inequivalent atoms are Pr at (0.000, 0.000, 0.000), Dy at (0.000, 0.500, 0.105), Dy at (0.000, 0.500, 0.303), Dy at (0.000, 0.500, 0.500), Dy at (0.500, 0.500, 0.000), Dy at (0.500, 0.500, 0.205), Dy at (0.500, 0.500, 0.401), Sc at (0.000, 0.000, 0.204) and Sc at (0.000, 0.000, 0.401).